Record 1
Below is a relaxed structure of SmNbSi2, with properties calculated at the PBE level.

Cell lengths 7.227, 3.900, 11.377 Å; angles 90.00, 90.00, 90.00 degrees
Sites, in units of the cell vectors:
Sm: 0.135 0.250 0.145
Sm: 0.365 0.750 0.645
Sm: 0.635 0.250 0.355
Sm: 0.865 0.750 0.855
Nb: 0.124 0.250 0.449
Nb: 0.376 0.750 0.949
Nb: 0.624 0.250 0.051
Nb: 0.876 0.750 0.551
Si: 0.032 0.250 0.671
Si: 0.184 0.250 0.858
Si: 0.316 0.750 0.358
Si: 0.468 0.750 0.171
Si: 0.532 0.250 0.829
Si: 0.684 0.250 0.642
Si: 0.816 0.750 0.142
Si: 0.968 0.750 0.329

Summary:
The formation energy from raw total energies is -0.58 eV/atom. The value obtained for the offset from the most stable computed form is 0 meV/atom. The final energy is -27.95 eV per formula unit. For the density of states at the Fermi level, the calculation gives 0.246 states/eV per atom. As for the space group: Pnma, No. 62.

---

Record 2
Below is a relaxed structure of MnAsCl2, with properties calculated at the PBE level.

Cell lengths 6.759, 6.759, 6.759 Å; angles 90.00, 90.00, 90.00 degrees
Sites, in units of the cell vectors:
Mn: 0.000 0.000 0.000
Mn: 0.000 0.500 0.500
Mn: 0.500 0.000 0.500
Mn: 0.500 0.500 0.000
As: 0.000 0.000 0.500
As: 0.000 0.500 0.000
As: 0.500 0.000 0.000
As: 0.500 0.500 0.500
Cl: 0.250 0.250 0.250
Cl: 0.250 0.250 0.750
Cl: 0.250 0.750 0.250
Cl: 0.250 0.750 0.750
Cl: 0.750 0.250 0.250
Cl: 0.750 0.250 0.750
Cl: 0.750 0.750 0.250
Cl: 0.750 0.750 0.750

Summary:
The formation energy from raw total energies is 0.31 eV/atom. The value obtained for the offset from the most stable computed form is 726 meV/atom. The final energy is -16.29 eV per formula unit. For the density of states at the Fermi level, the calculation gives 0.823 states/eV per atom. As for the space group: Fm-3m, No. 225.

---

Record 3
Below is a relaxed structure of PrHg2Pb, with properties calculated at the PBE level.

Cell lengths 5.405, 5.405, 5.903 Å; angles 90.00, 90.00, 120.00 degrees
Sites, in units of the cell vectors:
Pr: 0.000 0.000 0.000
Hg: 0.333 0.667 0.000
Hg: 0.667 0.333 0.000
Pb: 0.333 0.667 0.500

Summary:
For the formation energy, the calculation gives 0.08 eV/atom. The final energy is -8.77 eV per formula unit. For the density of states at the Fermi level, the calculation gives 0.460 states/eV per atom. As for the space group: P-6m2, No. 187.

---

Record 4
Below is a relaxed structure of ScRe2Sb, with properties calculated at the PBE level.

Cell lengths 7.689, 7.689, 5.358 Å; angles 90.00, 90.00, 90.00 degrees
Sites, in units of the cell vectors:
Sc: 0.000 0.000 0.000
Sc: 0.000 0.500 0.250
Sc: 0.500 0.000 0.750
Sc: 0.500 0.500 0.500
Re: 0.226 0.250 0.625
Re: 0.250 0.726 0.875
Re: 0.250 0.774 0.375
Re: 0.274 0.250 0.125
Re: 0.726 0.750 0.125
Re: 0.750 0.226 0.375
Re: 0.750 0.274 0.875
Re: 0.774 0.750 0.625
Sb: 0.000 0.000 0.500
Sb: 0.000 0.500 0.750
Sb: 0.500 0.000 0.250
Sb: 0.500 0.500 0.000

Summary:
The formation energy from raw total energies is 0.92 eV/atom. The final energy is -31.69 eV per formula unit. For the density of states at the Fermi level, the calculation gives 1.512 states/eV per atom. As for the space group: I-42d, No. 122.

---

Record 5
Below is a relaxed structure of HfP2HN6, with properties calculated at the PBE level.

Cell lengths 6.825, 6.825, 5.202 Å; angles 109.50, 109.50, 90.59 degrees
Sites, in units of the cell vectors:
Hf: 0.111 0.889 0.750
Hf: 0.889 0.111 0.250
P: 0.244 0.422 0.867
P: 0.422 0.244 0.367
P: 0.578 0.756 0.633
P: 0.756 0.578 0.133
H: 0.257 0.743 0.250
H: 0.743 0.257 0.750
N: 0.103 0.202 0.690
N: 0.185 0.654 0.956
N: 0.202 0.103 0.190
N: 0.346 0.815 0.544
N: 0.413 0.423 0.685
N: 0.423 0.413 0.185
N: 0.577 0.587 0.815
N: 0.587 0.577 0.315
N: 0.654 0.185 0.456
N: 0.798 0.897 0.810
N: 0.815 0.346 0.044
N: 0.897 0.798 0.310

Summary:
The final energy is -77.01 eV per formula unit. For the density of states at the Fermi level, the calculation gives 0.475 states/eV per atom. As for the space group: C2/c, No. 15.

---

Record 6
Below is a relaxed structure of Sm2Al9Ir6, with properties calculated at the PBE level.

Cell lengths 5.486, 5.486, 12.061 Å; angles 90.00, 90.00, 120.00 degrees
Sites, in units of the cell vectors:
Sm: 0.000 0.000 0.166
Sm: 0.000 0.000 0.834
Al: 0.000 0.500 0.000
Al: 0.000 0.500 0.339
Al: 0.000 0.500 0.661
Al: 0.500 0.000 0.000
Al: 0.500 0.000 0.339
Al: 0.500 0.000 0.661
Al: 0.500 0.500 0.000
Al: 0.500 0.500 0.339
Al: 0.500 0.500 0.661
Ir: 0.333 0.667 0.172
Ir: 0.333 0.667 0.500
Ir: 0.333 0.667 0.828
Ir: 0.667 0.333 0.172
Ir: 0.667 0.333 0.500
Ir: 0.667 0.333 0.828

Summary:
For the formation energy, the calculation gives -0.63 eV/atom. The final energy is -106.92 eV per formula unit. For the density of states at the Fermi level, the calculation gives 0.370 states/eV per atom. As for the space group: P6/mmm, No. 191.

---

Question: Which value of final energy does entry 4 give?
Answer: -31.69 eV per formula unit

---

Question: Among the records above, which one has the highest final energy?
Answer: PrHg2Pb

---

Question: Which of these has the highest final energy?
Answer: PrHg2Pb

---

Question: final energy of number 5 (HfP2HN6)?
Answer: -77.01 eV per formula unit